(1)
## Nd3GeBr3 (PBE)

Data for a geometry-optimized Nd3GeBr3 structure.

abc: 10.4501 10.4501 10.4501
angles: 109.47 109.47 109.47
Positions (direct):
Nd (0.0101, 0.0201, 0.2601)
Nd (0.0101, 0.4899, 0.7500)
Nd (0.0201, 0.2601, 0.0101)
Nd (0.2399, 0.2601, 0.7500)
Nd (0.2399, 0.4799, 0.4899)
Nd (0.2601, 0.0101, 0.0201)
Nd (0.2601, 0.7500, 0.2399)
Nd (0.4799, 0.4899, 0.2399)
Nd (0.4899, 0.2399, 0.4799)
Nd (0.4899, 0.7500, 0.0101)
Nd (0.7500, 0.0101, 0.4899)
Nd (0.7500, 0.2399, 0.2601)
Ge (0.0000, 0.2500, 0.5000)
Ge (0.2500, 0.2500, 0.2500)
Ge (0.2500, 0.5000, 0.0000)
Ge (0.5000, 0.0000, 0.2500)
Br (0.2500, 0.7541, 0.7459)
Br (0.2500, 0.9959, 0.5041)
Br (0.5041, 0.2500, 0.9959)
Br (0.5041, 0.7541, 0.5082)
Br (0.5082, 0.5041, 0.7541)
Br (0.7459, 0.2500, 0.7541)
Br (0.7459, 0.9959, 0.9918)
Br (0.7541, 0.5082, 0.5041)
Br (0.7541, 0.7459, 0.2500)
Br (0.9918, 0.7459, 0.9959)
Br (0.9959, 0.5041, 0.2500)
Br (0.9959, 0.9918, 0.7459)

Values from the calculation:
* E_tot: -136.72 eV for the cell shown
* space group: I4_132
* formation energy (no corrections): -1.46 eV per atom

***

(2)
## Ir2PbS (PBE)

Data for a geometry-optimized Ir2PbS structure.

abc: 4.5985 4.5985 4.5985
angles: 60.00 60.00 60.00
Positions (direct):
Ir (0.2500, 0.2500, 0.2500)
Ir (0.7500, 0.7500, 0.7500)
Pb (0.0000, 0.0000, 0.0000)
S (0.5000, 0.5000, 0.5000)

Values from the calculation:
* E_tot: -22.38 eV for the cell shown
* distance to the lowest polymorph of the same formula: 0.633 eV/atom
* space group: Fm-3m
* formation energy (no corrections): 0.80 eV per atom

***

(3)
## HgPdS (PBE)

Data for a geometry-optimized HgPdS structure.

abc: 5.6291 3.5128 7.0991
angles: 90.00 103.54 90.00
Positions (direct):
Hg (0.0595, 0.0000, 0.1970)
Hg (0.9405, 0.0000, 0.8030)
Pd (0.0000, 0.5000, 0.5000)
Pd (0.5000, 0.0000, 0.5000)
S (0.3990, 0.5000, 0.6943)
S (0.6010, 0.5000, 0.3057)

Values from the calculation:
* E_tot: -20.44 eV for the cell shown
* distance to the lowest polymorph of the same formula: 0.012 eV/atom
* space group: P2/m
* formation energy (no corrections): -0.20 eV per atom

***

(4)
## Tb6Nd3Er2Tl (PBE)

Data for a geometry-optimized Tb6Nd3Er2Tl structure.

abc: 6.1806 6.1806 11.6842
angles: 95.10 95.10 120.06
Positions (direct):
Tb (0.0797, 0.4078, 0.2426)
Tb (0.2484, 0.2484, 0.7557)
Tb (0.4078, 0.0797, 0.2426)
Tb (0.5922, 0.9203, 0.7574)
Tb (0.7516, 0.7516, 0.2443)
Tb (0.9203, 0.5922, 0.7574)
Nd (0.1674, 0.8326, 0.5000)
Nd (0.5000, 0.5000, 0.5000)
Nd (0.8326, 0.1674, 0.5000)
Er (0.3341, 0.6659, 0.0000)
Er (0.6659, 0.3341, 0.0000)
Tl (0.0000, 0.0000, 0.0000)

Values from the calculation:
* E_tot: -53.68 eV for the cell shown
* space group: C2/m

***

(5)
## InTe2RuF (PBE)

Data for a geometry-optimized InTe2RuF structure.

abc: 5.3566 5.3566 4.1087
angles: 90.00 90.00 90.00
Positions (direct):
In (0.0000, 0.0000, 0.0000)
Te (0.0000, 0.5000, 0.5000)
Te (0.5000, 0.0000, 0.5000)
Ru (0.5000, 0.5000, 0.5000)
F (0.5000, 0.5000, 0.0000)

Values from the calculation:
* E_tot: -21.65 eV for the cell shown
* distance to the lowest polymorph of the same formula: 0.000 eV/atom
* space group: P4/mmm
* formation energy (no corrections): -0.30 eV per atom

***

(6)
## SrRhS2Cl (PBE)

Data for a geometry-optimized SrRhS2Cl structure.

abc: 4.7484 4.7484 4.8580
angles: 90.00 90.00 90.00
Positions (direct):
Sr (0.0000, 0.0000, 0.0000)
Rh (0.5000, 0.5000, 0.5000)
S (0.0000, 0.5000, 0.5000)
S (0.5000, 0.0000, 0.5000)
Cl (0.5000, 0.5000, 0.0000)

Values from the calculation:
* E_tot: -23.56 eV for the cell shown
* distance to the lowest polymorph of the same formula: 0.000 eV/atom
* space group: P4/mmm
* formation energy (no corrections): -0.88 eV per atom